Run P
Here is SrInAs2Br after structural relaxation from Alexandria. Energies are from PBE-GGA.

Cell: 5.949 5.949 5.862 Å, 90.00 90.00 90.00°
Each line ends with the local moment (μB).
Sites, in units of the cell vectors:
As 0.000 0.500 0.000  0.44
As 0.500 0.000 0.000  0.44
Sr 0.000 0.000 0.000  0.02
In 0.500 0.500 0.500  0.03
Br 0.000 0.000 0.500  0.09

Values from the calculation:
Total magnetization (μB per formula unit): 2.30
Fermi-level density of states (states/eV per cell): 4.01

---

Run Q
Here is SrInAs2Br after structural relaxation from Alexandria. Energies are from PBE-GGA.

Cell: 5.174 5.174 5.865 Å, 90.00 90.00 90.00°
Sites, in units of the cell vectors:
As 0.500 0.000 0.000
As 0.000 0.500 0.000
Br 0.000 0.000 0.500
Sr 0.500 0.500 0.500
In 0.000 0.000 0.000

Values from the calculation:
Total magnetization (μB per formula unit): 0.00
Fermi-level density of states (states/eV per cell): 2.63

---

Of them, run P has the lowest stability.

---

Run P
Here is YInAs2Br after structural relaxation from Alexandria. Energies are from PBE-GGA.

Cell: 5.179 5.179 5.347 Å, 90.00 90.00 90.00°
Sites, in units of the cell vectors:
As 0.500 0.000 0.000
As 0.000 0.500 0.000
Y 0.500 0.500 0.500
In 0.000 0.000 0.000
Br 0.000 0.000 0.500

Values from the calculation:
Total magnetization (μB per formula unit): 0.00
Fermi-level density of states (states/eV per cell): 2.55

---

Run Q
Here is YInAs2Br after structural relaxation from Alexandria. Energies are from PBE-GGA.

Cell: 5.515 5.515 5.614 Å, 90.00 90.00 90.00°
Each line ends with the local moment (μB).
Sites, in units of the cell vectors:
In 0.500 0.500 0.500  0.01
Y 0.000 0.000 0.000  0.00
As 0.000 0.500 0.000  0.14
As 0.500 0.000 0.000  0.14
Br 0.000 0.000 0.500  0.06

Values from the calculation:
Total magnetization (μB per formula unit): 0.75
Fermi-level density of states (states/eV per cell): 4.78

---

Of them, run P has the lowest stability.

---

Run P
Here is ZnInAsBr2 after structural relaxation from Alexandria. Energies are from PBE-GGA.

Cell: 5.704 5.396 5.704 Å, 90.00 90.00 90.00°
Each line ends with the local moment (μB).
Sites, in units of the cell vectors:
Br 0.000 0.000 0.500  0.06
Br 0.500 0.000 0.000  0.05
In 0.000 0.000 0.000  0.00
Zn 0.000 0.500 0.000  0.01
As 0.500 0.500 0.500  1.16

Values from the calculation:
Total magnetization (μB per formula unit): 2.79
Fermi-level density of states (states/eV per cell): 2.84

---

Run Q
Here is ZnInAsBr2 after structural relaxation from Alexandria. Energies are from PBE-GGA.

Cell: 5.499 5.499 4.922 Å, 90.00 90.00 90.00°
Each line ends with the local moment (μB).
Sites, in units of the cell vectors:
Br 0.500 0.000 0.000  0.09
Br 0.000 0.500 0.000  0.09
Zn 0.000 0.000 0.000  0.01
In 0.500 0.500 0.500  0.03
As 0.000 0.000 0.500  0.72

Values from the calculation:
Total magnetization (μB per formula unit): 1.91
Fermi-level density of states (states/eV per cell): 1.35

---

Of them, run P has the lowest stability.

---

Run P
Here is ZrInAsBr2 after structural relaxation from Alexandria. Energies are from PBE-GGA.

Cell: 5.302 5.302 5.362 Å, 90.00 90.00 90.00°
Each line ends with the local moment (μB).
Sites, in units of the cell vectors:
In 0.000 0.000 0.000  0.01
Br 0.000 0.500 0.000  -0.02
Br 0.500 0.000 0.000  -0.02
Zr 0.500 0.500 0.500  1.29
As 0.000 0.000 0.500  -0.15

Values from the calculation:
Total magnetization (μB per formula unit): 1.60
Fermi-level density of states (states/eV per cell): 5.08

---

Run Q
Here is ZrInAsBr2 after structural relaxation from Alexandria. Energies are from PBE-GGA.

Cell: 5.429 5.429 5.266 Å, 90.00 90.00 90.00°
Sites, in units of the cell vectors:
In 0.500 0.500 0.500
As 0.000 0.000 0.500
Br 0.500 0.000 0.000
Br 0.000 0.500 0.000
Zr 0.000 0.000 0.000

Values from the calculation:
Total magnetization (μB per formula unit): 0.00
Fermi-level density of states (states/eV per cell): 2.31

---

Of them, run P has the lowest stability.

---

Run P
Here is AsIr2Br after structural relaxation from Alexandria. Energies are from PBE-GGA.

Cell: 5.313 5.313 5.313 Å, 137.99 137.99 60.92°
Sites, in units of the cell vectors:
Ir 0.250 0.750 0.500
Ir 0.000 0.000 0.000
Br 0.750 0.250 0.500
As 0.500 0.500 0.000

Values from the calculation:
Total magnetization (μB per formula unit): 0.00
Fermi-level density of states (states/eV per cell): 3.72

---

Run Q
Here is AsIr2Br after structural relaxation from Alexandria. Energies are from PBE-GGA.

Cell: 3.089 4.608 4.608 Å, 90.00 90.00 90.00°
Sites, in units of the cell vectors:
Ir 0.000 0.500 0.500
Ir 0.000 0.000 0.000
As 0.500 0.500 0.000
Br 0.500 0.000 0.500

Values from the calculation:
Total magnetization (μB per formula unit): 0.00
Fermi-level density of states (states/eV per cell): 3.95

---

Of them, run P has the lowest stability.

---

Run P
Here is AsIrBr after structural relaxation from Alexandria. Energies are from PBE-GGA.

Cell: 4.489 4.489 4.489 Å, 60.00 60.00 60.00°
Sites, in units of the cell vectors:
Ir 0.500 0.500 0.500
Br 0.000 0.000 0.000
As 0.750 0.750 0.750

Values from the calculation:
Total magnetization (μB per formula unit): 0.00
Fermi-level density of states (states/eV per cell): 3.54

---

Run Q
Here is AsIrBr after structural relaxation from Alexandria. Energies are from PBE-GGA.

Cell: 3.714 3.714 5.629 Å, 90.00 90.00 120.00°
Sites, in units of the cell vectors:
As 0.000 0.000 0.898
Ir 0.333 0.667 0.702
Br 0.667 0.333 0.400

Values from the calculation:
Total magnetization (μB per formula unit): 0.00
Fermi-level density of states (states/eV per cell): 2.38

---

Of them, run P has the lowest stability.

---

Run P
Here is AsIrBr after structural relaxation from Alexandria. Energies are from PBE-GGA.

Cell: 4.405 4.405 4.405 Å, 60.00 60.00 60.00°
Sites, in units of the cell vectors:
As 0.000 0.000 0.000
Ir 0.750 0.750 0.750
Br 0.500 0.500 0.500

Values from the calculation:
Total magnetization (μB per formula unit): 0.00
Fermi-level density of states (states/eV per cell): 2.69

---

Run Q
Here is AsIrBr after structural relaxation from Alexandria. Energies are from PBE-GGA.

Cell: 7.671 7.671 3.028 Å, 78.63 78.61 22.76°
Sites, in units of the cell vectors:
As 0.053 0.053 0.947
Br 0.298 0.298 0.702
Ir 0.649 0.649 0.351

Values from the calculation:
Total magnetization (μB per formula unit): 0.00
Fermi-level density of states (states/eV per cell): 2.09

---

Of them, run P has the lowest stability.

---

Run P
Here is AsIrBr3 after structural relaxation from Alexandria. Energies are from PBE-GGA.

Cell: 5.011 5.011 5.011 Å, 90.00 90.00 90.00°
Each line ends with the local moment (μB).
Sites, in units of the cell vectors:
As 0.500 0.500 0.500  0.33
Br 0.000 0.500 0.000  0.00
Br 0.000 0.000 0.500  0.01
Br 0.500 0.000 0.000  -0.02
Ir 0.000 0.000 0.000  -0.07

Values from the calculation:
Total magnetization (μB per formula unit): 0.61
Fermi-level density of states (states/eV per cell): 5.31

---

Run Q
Here is AsIrBr3 after structural relaxation from Alexandria. Energies are from PBE-GGA.

Cell: 5.318 5.318 5.318 Å, 90.00 90.00 90.00°
Each line ends with the local moment (μB).
Sites, in units of the cell vectors:
Br 0.500 0.000 0.000  0.07
Br 0.000 0.500 0.000  0.07
Br 0.000 0.000 0.500  0.07
As 0.000 0.000 0.000  -0.04
Ir 0.500 0.500 0.500  2.72

Values from the calculation:
Total magnetization (μB per formula unit): 3.38
Fermi-level density of states (states/eV per cell): 6.13

---

Of them, run Q has the lowest stability.

---

Run P
Here is As3IrBr after structural relaxation from Alexandria. Energies are from PBE-GGA.

Cell: 4.916 4.916 4.916 Å, 90.00 90.00 90.00°
Sites, in units of the cell vectors:
Ir 0.000 0.000 0.000
As 0.000 0.500 0.000
As 0.500 0.000 0.000
As 0.000 0.000 0.500
Br 0.500 0.500 0.500

Values from the calculation:
Total magnetization (μB per formula unit): 0.00
Fermi-level density of states (states/eV per cell): 9.53

---

Run Q
Here is As3IrBr after structural relaxation from Alexandria. Energies are from PBE-GGA.

Cell: 4.883 4.883 4.883 Å, 90.00 90.00 90.00°
Sites, in units of the cell vectors:
As 0.000 0.000 0.500
As 0.500 0.000 0.000
As 0.000 0.500 0.000
Ir 0.500 0.500 0.500
Br 0.000 0.000 0.000

Values from the calculation:
Total magnetization (μB per formula unit): 0.00
Fermi-level density of states (states/eV per cell): 2.80

---

Of them, run Q has the lowest stability.

---

Run P
Here is KAs2IrBr after structural relaxation from Alexandria. Energies are from PBE-GGA.

Cell: 4.650 4.650 9.466 Å, 90.00 90.00 90.00°
Sites, in units of the cell vectors:
K 0.500 0.500 0.500
As 0.000 0.500 0.000
As 0.500 0.000 0.000
Br 0.000 0.000 0.500
Ir 0.000 0.000 0.000

Values from the calculation:
Total magnetization (μB per formula unit): 0.01
Fermi-level density of states (states/eV per cell): 3.14

---

Run Q
Here is KAs2IrBr after structural relaxation from Alexandria. Energies are from PBE-GGA.

Cell: 5.488 5.488 5.449 Å, 90.00 90.00 90.00°
Each line ends with the local moment (μB).
Sites, in units of the cell vectors:
Br 0.000 0.000 0.500  0.07
K 0.000 0.000 0.000  0.03
As 0.500 0.000 0.000  0.01
As 0.000 0.500 0.000  0.01
Ir 0.500 0.500 0.500  1.94

Values from the calculation:
Total magnetization (μB per formula unit): 2.24
Fermi-level density of states (states/eV per cell): 8.08

---

Of them, run Q has the lowest stability.

---

Run P
Here is LaAsIrBr2 after structural relaxation from Alexandria. Energies are from PBE-GGA.

Cell: 5.677 5.677 6.217 Å, 90.00 90.00 90.00°
Each line ends with the local moment (μB).
Sites, in units of the cell vectors:
Br 0.000 0.500 0.000  -0.01
Br 0.500 0.000 0.000  -0.01
La 0.000 0.000 0.000  -0.02
Ir 0.500 0.500 0.500  2.12
As 0.000 0.000 0.500  -0.49

Values from the calculation:
Total magnetization (μB per formula unit): 1.29
Fermi-level density of states (states/eV per cell): 10.33

---

Run Q
Here is LaAsIrBr2 after structural relaxation from Alexandria. Energies are from PBE-GGA.

Cell: 5.065 5.065 4.956 Å, 90.00 90.00 90.00°
Sites, in units of the cell vectors:
As 0.000 0.000 0.500
Ir 0.000 0.000 0.000
La 0.500 0.500 0.500
Br 0.000 0.500 0.000
Br 0.500 0.000 0.000

Values from the calculation:
Total magnetization (μB per formula unit): 0.00
Fermi-level density of states (states/eV per cell): 3.68

---

Of them, run P has the lowest stability.

---

Run P
Here is As2IrBrN after structural relaxation from Alexandria. Energies are from PBE-GGA.

Cell: 4.742 4.742 5.570 Å, 90.00 90.00 90.00°
Each line ends with the local moment (μB).
Sites, in units of the cell vectors:
Ir 0.000 0.000 0.000  -0.16
Br 0.000 0.000 0.500  0.08
As 0.500 0.000 0.000  -0.05
As 0.000 0.500 0.000  -0.05
N 0.500 0.500 0.500  1.80

Values from the calculation:
Total magnetization (μB per formula unit): 2.40
Fermi-level density of states (states/eV per cell): 3.50

---

Run Q
Here is As2IrBrN after structural relaxation from Alexandria. Energies are from PBE-GGA.

Cell: 4.345 4.345 4.267 Å, 90.00 90.00 90.00°
Sites, in units of the cell vectors:
As 0.000 0.500 0.000
As 0.500 0.000 0.000
N 0.000 0.000 0.000
Br 0.000 0.000 0.500
Ir 0.500 0.500 0.500

Values from the calculation:
Total magnetization (μB per formula unit): 0.00
Fermi-level density of states (states/eV per cell): 2.28

---

Of them, run P has the lowest stability.

---

Run P
Here is NbAsIrBr2 after structural relaxation from Alexandria. Energies are from PBE-GGA.

Cell: 4.978 4.978 5.258 Å, 90.00 90.00 90.00°
Each line ends with the local moment (μB).
Sites, in units of the cell vectors:
Br 0.500 0.000 0.000  0.03
Br 0.000 0.500 0.000  0.03
Nb 0.000 0.000 0.000  0.10
As 0.000 0.000 0.500  -0.04
Ir 0.500 0.500 0.500  1.88

Values from the calculation:
Total magnetization (μB per formula unit): 2.17
Fermi-level density of states (states/eV per cell): 7.87

---

Run Q
Here is NbAsIrBr2 after structural relaxation from Alexandria. Energies are from PBE-GGA.

Cell: 5.237 5.237 4.635 Å, 90.00 90.00 90.00°
Each line ends with the local moment (μB).
Sites, in units of the cell vectors:
Br 0.500 0.000 0.000  -0.03
Br 0.000 0.500 0.000  -0.03
Ir 0.000 0.000 0.000  0.12
As 0.000 0.000 0.500  -0.08
Nb 0.500 0.500 0.500  2.81

Values from the calculation:
Total magnetization (μB per formula unit): 3.53
Fermi-level density of states (states/eV per cell): 4.46

---

Of them, run P has the lowest stability.

---

Run P
Here is NiAs2IrBr after structural relaxation from Alexandria. Energies are from PBE-GGA.

Cell: 4.717 4.717 5.402 Å, 90.00 90.00 90.00°
Each line ends with the local moment (μB).
Sites, in units of the cell vectors:
Br 0.000 0.000 0.500  0.02
Ni 0.500 0.500 0.500  0.77
As 0.000 0.500 0.000  0.00
As 0.500 0.000 0.000  0.00
Ir 0.000 0.000 0.000  -0.04

Values from the calculation:
Total magnetization (μB per formula unit): 0.74
Fermi-level density of states (states/eV per cell): 7.20

---

Run Q
Here is NiAs2IrBr after structural relaxation from Alexandria. Energies are from PBE-GGA.

Cell: 4.495 4.495 4.763 Å, 90.00 90.00 90.00°
Sites, in units of the cell vectors:
As 0.500 0.000 0.000
As 0.000 0.500 0.000
Ir 0.500 0.500 0.500
Ni 0.000 0.000 0.000
Br 0.000 0.000 0.500

Values from the calculation:
Total magnetization (μB per formula unit): 0.00
Fermi-level density of states (states/eV per cell): 4.97

---

Of them, run Q has the lowest stability.

---

Run P
Here is As2IrBrO after structural relaxation from Alexandria. Energies are from PBE-GGA.

Cell: 4.718 4.718 5.446 Å, 90.00 90.00 90.00°
Each line ends with the local moment (μB).
Sites, in units of the cell vectors:
Ir 0.000 0.000 0.000  0.01
Br 0.000 0.000 0.500  0.14
As 0.000 0.500 0.000  0.07
As 0.500 0.000 0.000  0.07
O 0.500 0.500 0.500  1.21

Values from the calculation:
Total magnetization (μB per formula unit): 1.93
Fermi-level density of states (states/eV per cell): 6.26

---

Run Q
Here is As2IrBrO after structural relaxation from Alexandria. Energies are from PBE-GGA.

Cell: 4.068 4.068 5.351 Å, 90.00 90.00 90.00°
Sites, in units of the cell vectors:
As 0.000 0.500 0.000
As 0.500 0.000 0.000
Br 0.000 0.000 0.500
O 0.000 0.000 0.000
Ir 0.500 0.500 0.500

Values from the calculation:
Total magnetization (μB per formula unit): 0.00
Fermi-level density of states (states/eV per cell): 1.48

---

Of them, run P has the lowest stability.